CoC2F | the Alexandria database | PBE+U | optimized geometry; polymorph energy (0 for the lowest one) = 954.9 meV per atom
1.0
3.276 -0.358 1.544
0.345 -1.813 3.137
1.641 -3.248 0.054
C F Co
2 1 1
Cartesian
3.946 -4.064 3.552
1.315 -1.355 1.184
0.000 0.000 0.000
2.631 -2.709 2.368